Si3AgSn at its PBEsol-relaxed geometry, computed with SCAN.

POSCAR file:
```
Si3AgSn
1.0
4.7989 0.0000 0.0000
0.0000 4.7989 0.0000
0.0000 0.0000 4.7989
Si Sn Ag
3 1 1
Direct
0.0000 0.5000 0.0000
0.5000 0.0000 0.0000
0.0000 0.0000 0.5000
0.5000 0.5000 0.5000
0.0000 0.0000 0.0000
```

Properties
* total moment: 0.0 μB/f.u.
* density of states at the Fermi level: 2.251 states/eV/f.u.
* symmetry: Pm-3m, No. 221
* energy relative to the elements, uncorrected: 1.1379 eV per atom
* raw total energy: -18.3292 eV per atom